# 1
Compound: Pr8P3Se4Br
Source: Alexandria
Functional: PBE-GGA
Structure: relaxed

Lattice parameters (Å, degrees): 8.5017 8.5144 8.5019 119.95 120.00 90.00
Fractional positions:
1 Pr 0.2573 0.7395 0.9822
2 Pr 0.2573 0.7395 0.5145
3 Pr 0.2567 0.2700 0.5134
4 Pr 0.7250 0.7395 0.9822
5 Pr 0.2750 0.2605 0.0178
6 Pr 0.7433 0.7300 0.4866
7 Pr 0.7427 0.2605 0.4855
8 Pr 0.7427 0.2605 0.0178
9 P 0.5000 0.5000 0.0000
10 P 0.5000 0.5000 0.5000
11 P 0.0000 0.5000 0.5000
12 Se 0.5000 0.0000 0.0000
13 Se 0.5000 0.0000 0.5000
14 Se 0.0000 0.0000 0.0000
15 Se 0.0000 0.0000 0.5000
16 Br 0.0000 0.5000 0.0000

Properties
- ΔE_f (raw): -39.407 kcal/mol of atoms
- E: -6.09 eV per atom

---

# 2
Compound: PmNiPb
Source: Alexandria
Functional: PBE-GGA
Structure: relaxed

Lattice parameters (Å, degrees): 3.7596 4.6291 4.6291 120.00 90.00 90.00
Fractional positions:
1 Pb 0.1666 0.3333 0.6667
2 Ni 0.1669 0.0000 0.0000
3 Pm 0.6666 0.6667 0.3333

Properties
- ΔE_f: -0.356 eV/atom
- Polymorph energy (0 for the lowest one): 32 meV/atom
- E: -5.10 eV per atom

---

# 3
Compound: TbPm2Pr6Sm3
Source: Alexandria
Functional: PBE-GGA
Structure: relaxed

Lattice parameters (Å, degrees): 6.3702 6.3702 12.1181 95.03 95.03 120.01
Fractional positions:
1 Tb 0.0000 0.0000 0.0000
2 Pm 0.3333 0.6667 0.0000
3 Pm 0.6667 0.3333 0.0000
4 Pr 0.9166 0.5840 0.7503
5 Pr 0.7505 0.7505 0.2500
6 Pr 0.0834 0.4160 0.2497
7 Pr 0.5840 0.9166 0.7503
8 Pr 0.2495 0.2495 0.7500
9 Pr 0.4160 0.0834 0.2497
10 Sm 0.1667 0.8333 0.5000
11 Sm 0.8333 0.1667 0.5000
12 Sm 0.5000 0.5000 0.5000

Properties
- ΔE_f: 0.012 eV/atom
- E: -4.74 eV per atom